A plane-wave DFT calculation with PBE was carried out for crystalline LaY2Si at its relaxed geometry.

Calculated values
As for the formation energy from raw total energies: -0.07 eV per atom. The theoretical density is 4.7 Mg/m³.

abc: 6.9841 6.9841 6.9841
angles: 101.93 101.93 125.90
Positions (direct):
La1 0.0000 0.0000 0.0000
La2 0.7500 0.2500 0.5000
Y1 0.1914 0.6250 0.0664
Y2 0.3750 0.4414 0.5664
Y3 0.5586 0.1250 0.9336
Y4 0.8750 0.8086 0.4336
Si1 0.2500 0.7500 0.5000
Si2 0.5000 0.5000 0.0000